1.
DFT (PBE-GGA) results for a relaxed structure of La2Pr6Ho.

Cell: 8.2943 8.2943 10.6984 Å, 90.00 90.00 90.00°
Positions (direct):
Pr  0.7662  0.2338  0.8314
Pr  0.7338  0.7338  0.3314
Pr  0.7388  0.7388  0.0000
Pr  0.2338  0.7662  0.1686
Pr  0.7612  0.2388  0.5000
Pr  0.2662  0.2662  0.3314
Pr  0.2388  0.7612  0.5000
Pr  0.7338  0.7338  0.6686
Pr  0.2612  0.2612  0.0000
Pr  0.2338  0.7662  0.8314
Pr  0.2662  0.2662  0.6686
Pr  0.7662  0.2338  0.1686
La  0.0000  0.0000  0.3536
La  0.0000  0.0000  0.6464
La  0.5000  0.5000  0.1464
La  0.5000  0.5000  0.8536
Ho  0.0000  0.0000  0.0000
Ho  0.5000  0.5000  0.5000

Computed properties:
Its offset from the most stable computed form is 0.487 eV per atom. The energy comes out at -4.215 eV per atom. The value obtained for the calculated formation energy is 500 kJ/mol of formula units.



2.
DFT (PBE-GGA) results for a relaxed structure of TbSmAl6.

Cell: 4.6570 6.3333 6.3333 Å, 119.96 90.00 90.00°
Positions (direct):
Al  0.5000  0.4597  0.1051
Al  0.0000  0.6060  0.3940
Al  0.0000  0.6063  0.9623
Al  0.5000  0.8952  0.1048
Al  0.0000  0.0377  0.3937
Al  0.5000  0.8949  0.5403
Sm  0.5000  0.4165  0.5835
Tb  0.0000  0.0835  0.9165

Computed properties:
The energy comes out at -4.417 eV per atom. The value obtained for the calculated formation energy is -340 kJ/mol of formula units.



3.
DFT (PBE-GGA) results for a relaxed structure of BiAsF2.

Cell: 8.7237 8.7237 8.7237 Å, 152.22 152.22 39.70°
Positions (direct):
As  0.2500  0.7500  0.5000
As  0.5000  0.5000  0.0000
F  0.3750  0.3702  0.4952
F  0.8750  0.8798  0.5048
F  0.6298  0.1250  0.0048
F  0.1202  0.6250  0.9952
Bi  0.0000  0.0000  0.0000
Bi  0.7500  0.2500  0.5000

Computed properties:
For the formation energy from raw total energies, the calculation gives -1.11 eV per atom. Its offset from the most stable computed form is 0.000 eV per atom. The energy comes out at -4.176 eV per atom.



4.
DFT (PBE-GGA) results for a relaxed structure of TlTe2As.

Cell: 3.7191 5.4048 5.4048 Å, 90.00 90.00 90.00°
Positions (direct):
Te  0.0000  0.0000  0.0000
Te  0.0000  0.5000  0.5000
As  0.5000  0.0000  0.5000
Tl  0.5000  0.5000  0.0000

Computed properties:
For the formation energy from raw total energies, the calculation gives 0.25 eV per atom. The energy comes out at -3.074 eV per atom.



5.
DFT (PBE-GGA) results for a relaxed structure of CuNiSe2Br.

Cell: 4.7653 4.7653 4.9998 Å, 90.00 90.00 90.00°
Each line ends with the local moment (μB).
Positions (direct):
Ni  0.5000  0.5000  0.5000  1.06
Se  0.5000  0.0000  0.0000  0.23
Se  0.0000  0.5000  0.0000  0.23
Br  0.0000  0.0000  0.5000  0.13
Cu  0.0000  0.0000  0.0000  0.03

Computed properties:
For the formation energy from raw total energies, the calculation gives 0.75 eV per atom. Its offset from the most stable computed form is 0.253 eV per atom. The energy comes out at -2.950 eV per atom.



6.
DFT (PBE-GGA) results for a relaxed structure of Rb3PuCl8.

Cell: 7.4383 7.4383 8.9882 Å, 114.44 114.44 90.00°
Each line ends with the local moment (μB).
Positions (direct):
Cl  0.8957  0.3212  0.2169  -0.12
Cl  0.3212  0.3212  0.2169  -0.12
Cl  0.8957  0.8957  0.2169  -0.12
Cl  0.3212  0.8957  0.2169  -0.12
Cl  0.6788  0.6788  0.7831  -0.12
Cl  0.1043  0.1043  0.7831  -0.12
Cl  0.6788  0.1043  0.7831  -0.12
Cl  0.1043  0.6788  0.7831  -0.12
Rb  0.7500  0.2500  0.5000  0.00
Rb  0.5000  0.5000  0.0000  0.00
Rb  0.2500  0.7500  0.5000  0.00
Pu  0.0000  0.0000  0.0000  4.06

Computed properties:
For the formation energy from raw total energies, the calculation gives -1.63 eV per atom. Its offset from the most stable computed form is 0.000 eV per atom. The energy comes out at -4.298 eV per atom.



7.
DFT (PBE-GGA) results for a relaxed structure of Sr2La4Fe.

Cell: 5.5096 5.5096 10.6497 Å, 75.01 75.01 90.00°
Positions (direct):
Sr  0.3288  0.3288  0.3423
Sr  0.6712  0.6712  0.6577
Fe  0.0000  0.0000  0.0000
La  0.1285  0.1285  0.7430
La  0.5000  0.0000  0.0000
La  0.8715  0.8715  0.2570
La  0.0000  0.5000  0.0000

Computed properties:
The energy comes out at -4.330 eV per atom. The value obtained for the calculated formation energy is 119 kJ/mol of formula units.



8.
DFT (PBE-GGA) results for a relaxed structure of Mg8Cd3Rh2.

Cell: 4.7736 8.1664 8.2287 Å, 119.75 90.00 90.00°
Positions (direct):
Cd  0.0000  0.6828  0.0000
Cd  0.5000  0.0000  0.0000
Cd  0.0000  0.3172  0.0000
Mg  0.5000  0.5669  0.7181
Mg  0.0000  0.6884  0.3769
Mg  0.5000  0.8488  0.2819
Mg  0.0000  0.3116  0.6231
Mg  0.5000  0.1512  0.7181
Mg  0.0000  0.1183  0.2367
Mg  0.0000  0.8817  0.7633
Mg  0.5000  0.4331  0.2819
Rh  0.5000  0.7870  0.5739
Rh  0.5000  0.2130  0.4261

Computed properties:
The energy comes out at -2.510 eV per atom. The value obtained for the calculated formation energy is -234 kJ/mol of formula units.



9.
DFT (PBE-GGA) results for a relaxed structure of ZnFe2Os.

Cell: 4.1959 2.5587 4.9212 Å, 81.07 90.00 90.00°
Each line ends with the local moment (μB).
Positions (direct):
Fe  0.5000  0.2112  0.2478  2.59
Fe  0.0000  0.0260  0.9995  2.45
Os  0.0000  0.4914  0.4892  0.33
Zn  0.5000  0.7714  0.7635  -0.04

Computed properties:
The energy comes out at -7.191 eV per atom. The value obtained for the calculated formation energy is 64 kJ/mol of formula units.